Here is an optimized crystal structure of TiCu2Te from the Alexandria database. Energies are from GGA-PBE.

a = 7.3301 Å, b = 7.3301 Å, c = 5.8152 Å
α = 50.93°, β = 50.93°, γ = 90.00°
Positions (direct):
Cu (0.1195, 0.6250, 0.2500)
Ti (0.2500, 0.7500, 0.5000)
Cu (0.3750, 0.3695, 0.7500)
Cu (0.6305, 0.1250, 0.2500)
Te (0.7500, 0.2500, 0.5000)
Cu (0.8750, 0.8805, 0.7500)
Ti (0.5000, 0.5000, 0.0000)
Te (0.0000, 0.0000, 0.0000)

Values from the calculation:
**ΔE_f (raw)**: 0.14 eV per atom